No. 1
Compound: Mg5Pt3O12
Source: the Alexandria database
Functional: PBE
Structure: optimized geometry

Unit cell a=3.0885 b=8.9826 c=8.9826 alpha=120.00 beta=90.00 gamma=90.00
With the nearest neighbours (Å) after each atom.
Positions (direct):
Pt 0.5000 0.0000 0.6816  6 O 1.99-2.02
Pt 0.5000 0.3184 0.3184  6 O 1.99-2.02
Pt 0.5000 0.6816 0.0000  6 O 1.99-2.02
Mg 0.0000 0.3333 0.6667  6 O 2.31
Mg 0.0000 0.6868 0.6868  5 O 2.05-2.17
Mg 0.0000 0.6667 0.3333  6 O 2.31
Mg 0.0000 0.3132 0.0000  5 O 2.05-2.17
Mg 0.0000 0.0000 0.3132  5 O 2.05-2.17
O 0.0000 0.8241 0.0000  2 Pt 2.01
O 0.5000 0.5504 0.7403  1 Pt 2.02, 2 Mg 2.17
O 0.5000 0.7403 0.5504  1 Pt 2.02, 2 Mg 2.17
O 0.5000 0.1900 0.4496  1 Pt 2.02, 2 Mg 2.17
O 0.0000 0.5419 0.0000  2 Pt 1.99, 1 Mg 2.05
O 0.0000 0.4581 0.4581  2 Pt 1.99, 1 Mg 2.05
O 0.0000 0.1759 0.1759  2 Pt 2.01
O 0.0000 0.0000 0.8241  2 Pt 2.01
O 0.5000 0.8100 0.2597  1 Pt 2.02, 2 Mg 2.17
O 0.5000 0.4496 0.1900  1 Pt 2.02, 2 Mg 2.17
O 0.0000 0.0000 0.5419  2 Pt 1.99, 1 Mg 2.05
O 0.5000 0.2597 0.8100  1 Pt 2.02, 2 Mg 2.17

Results
uncorrected energy	-115.7	eV per cell
E_form (uncorrected)	-1.507	eV/atom

No. 2
Compound: MgPtO
Source: the Alexandria database
Functional: PBE
Structure: optimized geometry

Unit cell a=6.4659 b=5.8207 c=2.8146 alpha=90.00 beta=64.19 gamma=58.84
With the nearest neighbours (Å) after each atom.
Positions (direct):
O 0.6032 0.7869 0.4072  4 Mg 2.01-2.02, 1 Pt 2.10
O 0.1971 0.3809 0.8133  4 Mg 2.01-2.02, 1 Pt 2.10
Pt 0.4056 0.5785 0.6047  2 O 2.10
Pt 0.8779 0.1062 0.6321  2 Mg 2.74, 4 Pt 2.81-2.90
Mg 0.3648 0.0757 0.1455  4 O 2.01-2.02
Mg 0.9083 0.6193 0.6021  4 O 2.01-2.02

Results
uncorrected energy	-33.3	eV per cell
E_form (uncorrected)	-1.344	eV/atom

No. 3
Compound: MgPtO
Source: the Alexandria database
Functional: PBE
Structure: optimized geometry

Unit cell a=5.0376 b=2.8206 c=5.4043 alpha=90.00 beta=90.00 gamma=90.00
With the nearest neighbours (Å) after each atom.
Positions (direct):
Pt 0.8764 0.2395 0.9091  1 O 2.18
Pt 0.3764 0.2396 0.6957  1 O 2.18
Mg 0.8565 0.7394 0.4415  4 O 2.04-2.09
Mg 0.3565 0.7394 0.1635  4 O 2.04-2.09
O 0.6359 0.2395 0.2445  4 Mg 2.04-2.09, 1 Pt 2.18
O 0.1359 0.2395 0.3603  4 Mg 2.04-2.09, 1 Pt 2.18

Results
uncorrected energy	-32.3	eV per cell
E_form (uncorrected)	-1.180	eV/atom

No. 4
Compound: MgPtO
Source: the Alexandria database
Functional: PBE
Structure: optimized geometry

Unit cell a=5.4105 b=6.1734 c=2.8869 alpha=76.43 beta=74.63 gamma=111.20
With the nearest neighbours (Å) after each atom.
Positions (direct):
O 0.6053 0.3947 0.9134  4 Mg 2.02-2.08, 1 Pt 2.15
O 0.2050 0.6147 0.5050  3 Mg 1.93-1.99, 1 Pt 2.04
Pt 0.8817 0.9887 0.4748  4 Mg 2.73-3.03, 5 Pt 2.78-2.89
Pt 0.4284 0.9948 0.2028  2 O 2.04-2.15
Mg 0.3150 0.3487 0.5805  3 O 1.93-2.02
Mg 0.9215 0.5629 0.1717  4 O 1.99-2.08

Results
uncorrected energy	-33.2	eV per cell
E_form (uncorrected)	-1.333	eV/atom

No. 5
Compound: MgPtO
Source: the Alexandria database
Functional: PBE
Structure: optimized geometry

Unit cell a=5.8084 b=3.0919 c=5.1267 alpha=89.94 beta=83.01 gamma=105.50
With the nearest neighbours (Å) after each atom.
Positions (direct):
Mg 0.5112 0.5846 0.4458  3 O 2.00-2.07
Mg 0.9175 0.2891 0.1598  3 O 2.00-2.10
O 0.8812 0.7704 0.4386  3 Mg 2.07-2.10, 2 Pt 2.20
O 0.5568 0.1080 0.1984  3 Mg 2.00, 1 Pt 2.10
Pt 0.3133 0.9866 0.9192  1 O 2.10
Pt 0.0575 0.3586 0.6529  2 O 2.20

Results
uncorrected energy	-32.2	eV per cell
E_form (uncorrected)	-1.176	eV/atom

No. 6
Compound: MgPt2O
Source: the Alexandria database
Functional: PBE
Structure: optimized geometry

Unit cell a=4.2985 b=4.2985 c=4.2985 alpha=60.00 beta=60.00 gamma=60.00
With the nearest neighbours (Å) after each atom.
Positions (direct):
Pt 0.2500 0.2500 0.2500  4 O 2.63, 4 Mg 2.63
Pt 0.7500 0.7500 0.7500  4 O 2.63, 4 Mg 2.63
Mg 0.5000 0.5000 0.5000  8 Pt 2.63
O 0.0000 0.0000 0.0000  8 Pt 2.63

Results
uncorrected energy	-17.9	eV per cell
E_form (uncorrected)	0.189	eV/atom

No. 7
Compound: Mg3PtO
Source: the Alexandria database
Functional: PBE
Structure: optimized geometry

Unit cell a=4.1791 b=4.1791 c=4.1791 alpha=90.00 beta=90.00 gamma=90.00
With the nearest neighbours (Å) after each atom.
Positions (direct):
Pt 0.5000 0.5000 0.5000  12 Mg 2.96
Mg 0.5000 0.0000 0.0000  2 O 2.09
Mg 0.0000 0.0000 0.5000  2 O 2.09
Mg 0.0000 0.5000 0.0000  2 O 2.09
O 0.0000 0.0000 0.0000  6 Mg 2.09

Results
uncorrected energy	-22.5	eV per cell
E_form (uncorrected)	-1.335	eV/atom

No. 8
Compound: MgPtO
Source: the Alexandria database
Functional: PBE
Structure: optimized geometry

Unit cell a=2.8386 b=2.8353 c=19.8554 alpha=90.00 beta=90.00 gamma=90.00
With the nearest neighbours (Å) after each atom.
Positions (direct):
O 0.7518 0.2500 0.3057  4 Mg 2.01
O 0.2518 0.7500 0.1943  4 Mg 2.01
O 0.2482 0.7500 0.6943  4 Mg 2.01
O 0.7482 0.2500 0.8057  4 Mg 2.01
Pt 0.2500 0.2500 0.0476  8 Pt 2.76-2.84
Pt 0.7500 0.7500 0.4524  8 Pt 2.76-2.84
Pt 0.7500 0.7500 0.9524  8 Pt 2.76-2.84
Pt 0.2500 0.2500 0.5476  8 Pt 2.76-2.84
Mg 0.2483 0.7500 0.8075  4 O 2.01
Mg 0.2517 0.7500 0.3075  4 O 2.01
Mg 0.7483 0.2500 0.6925  4 O 2.01
Mg 0.7517 0.2500 0.1925  4 O 2.01

Results
uncorrected energy	-67.1	eV per cell
E_form (uncorrected)	-1.390	eV/atom

No. 9
Compound: MgPtO
Source: the Alexandria database
Functional: PBE
Structure: optimized geometry

Unit cell a=2.9354 b=2.9353 c=10.1085 alpha=90.00 beta=89.99 gamma=60.00
With the nearest neighbours (Å) after each atom.
Positions (direct):
O 0.6372 0.2948 0.7929  3 Mg 1.95, 1 Pt 2.00
O 0.3035 0.9613 0.5509  6 Mg 2.05-2.25
Pt 0.6370 0.2947 0.9909  1 O 2.00
Pt 0.3033 0.9611 0.2141  3 Mg 2.82, 9 Pt 2.82-2.94
Mg 0.9701 0.6278 0.4366  3 O 2.05
Mg 0.9705 0.6282 0.6978  3 O 1.95

Results
uncorrected energy	-33.4	eV per cell
E_form (uncorrected)	-1.368	eV/atom

No. 10
Compound: MgPtO
Source: the Alexandria database
Functional: PBE
Structure: optimized geometry

Unit cell a=4.0334 b=4.0342 c=4.7467 alpha=90.00 beta=90.00 gamma=90.00
With the nearest neighbours (Å) after each atom.
Positions (direct):
Mg 0.7896 0.9498 0.4480  4 O 2.04
Mg 0.2895 0.4498 0.5695  4 O 2.04
Pt 0.2896 0.9499 0.0087  2 O 2.37
Pt 0.7896 0.4499 0.0087  2 O 2.37
O 0.2896 0.9499 0.5087  4 Mg 2.04
O 0.7896 0.4499 0.5086  4 Mg 2.04

Results
uncorrected energy	-32.5	eV per cell
E_form (uncorrected)	-1.223	eV/atom

No. 11
Compound: MgPtO
Source: the Alexandria database
Functional: PBE
Structure: optimized geometry

Unit cell a=2.8244 b=2.8243 c=9.5211 alpha=89.95 beta=90.07 gamma=90.00
With the nearest neighbours (Å) after each atom.
Positions (direct):
O 0.0358 0.5438 0.7086  5 Mg 2.05-2.07
O 0.5346 0.0446 0.4600  4 Mg 2.02, 1 Pt 2.17
Pt 0.0325 0.5461 0.0236  8 Pt 2.82, 1 O 3.00
Pt 0.5337 0.0452 0.2321  1 O 2.17
Mg 0.5360 0.0437 0.7656  4 O 2.07
Mg 0.0348 0.5445 0.4933  5 O 2.02-2.05

Results
uncorrected energy	-33.8	eV per cell
E_form (uncorrected)	-1.433	eV/atom

No. 12
Compound: Mg2PtO6
Source: the Alexandria database
Functional: PBE
Structure: optimized geometry

Unit cell a=5.2326 b=7.7097 c=7.7097 alpha=85.79 beta=64.36 gamma=64.36
With the nearest neighbours (Å) after each atom.
Positions (direct):
O 0.4661 0.3488 0.9457  1 Pt 1.95, 2 Mg 1.97-2.12
O 0.0971 0.4264 0.4221  1 O 1.38
O 0.5339 0.6512 0.0543  1 Pt 1.95, 2 Mg 1.97-2.12
O 0.9029 0.5736 0.5779  1 O 1.38
O 0.0339 0.0543 0.6512  1 Pt 1.95, 2 Mg 1.97-2.12
O 0.9117 0.1808 0.0637  2 Pt 2.01-2.03, 1 Mg 2.04
O 0.4029 0.5779 0.5736  1 O 1.38
O 0.5883 0.9363 0.8192  2 Pt 2.01-2.03, 1 Mg 2.04
O 0.9661 0.9457 0.3488  1 Pt 1.95, 2 Mg 1.97-2.12
O 0.5971 0.4221 0.4264  1 O 1.38
O 0.0883 0.8192 0.9363  2 Pt 2.01-2.03, 1 Mg 2.04
O 0.4117 0.0637 0.1808  2 Pt 2.01-2.03, 1 Mg 2.04
Mg 0.9992 0.1893 0.4301  5 O 1.97-2.12
Mg 0.5008 0.5699 0.8107  5 O 1.97-2.12
Mg 0.0008 0.8107 0.5699  5 O 1.97-2.12
Mg 0.4992 0.4301 0.1893  5 O 1.97-2.12
Pt 0.7500 0.0753 0.9247  6 O 1.95-2.03
Pt 0.2500 0.9247 0.0753  6 O 1.95-2.03

Results
uncorrected energy	-98.1	eV per cell
E_form (uncorrected)	-1.121	eV/atom

The highest E_form (uncorrected) belongs to which entry? MgPt2O

E_form (uncorrected) of number 2 (MgPtO)? -1.344 eV/atom

uncorrected energy of number 4 (MgPtO)? -33.2 eV per cell

What did the seventh record say?
Compound: Mg3PtO
Source: the Alexandria database
Functional: PBE
Structure: optimized geometry

Unit cell a=4.1791 b=4.1791 c=4.1791 alpha=90.00 beta=90.00 gamma=90.00
With the nearest neighbours (Å) after each atom.
Positions (direct):
Pt 0.5000 0.5000 0.5000  12 Mg 2.96
Mg 0.5000 0.0000 0.0000  2 O 2.09
Mg 0.0000 0.0000 0.5000  2 O 2.09
Mg 0.0000 0.5000 0.0000  2 O 2.09
O 0.0000 0.0000 0.0000  6 Mg 2.09

Results
uncorrected energy	-22.5	eV per cell
E_form (uncorrected)	-1.335	eV/atom